Here is a relaxed SiNi2Ru crystal from Alexandria. Energies are from PBE.

Lattice parameters (Å, degrees): 4.472 4.472 4.472 132.60 132.60 69.29
Element x y z (fractional)
Si 0.000 0.000 0.000
Ni 0.250 0.750 0.500
Ni 0.750 0.250 0.500
Ru 0.500 0.500 0.000

Results
- D(E_F): 1.3553 states/eV/atom
- Total DFT energy (no corrections): -27.0 eV/cell
- E_form (uncorrected): -0.197 eV per atom
- Total magnetic moment: 0.00 μB/cell